A plane-wave DFT calculation with PBE was carried out for a geometry-optimized KNaNiPb2 structure.

Lattice parameters (Å, degrees): 5.163 5.163 5.642 90.00 90.00 90.00
Element x y z (fractional)
K1 0.000 0.000 0.000
Na1 0.500 0.500 0.000
Ni1 0.500 0.500 0.500
Pb1 0.000 0.500 0.500
Pb2 0.500 0.000 0.500

## Properties
Size of the total moment, μB/f.u.: 0.0
E_tot, eV/cell: -15.6

---

A plane-wave DFT calculation with PBE was carried out for a geometry-optimized KNa2NiPb structure.

Lattice parameters (Å, degrees): 5.599 5.599 4.998 90.00 90.00 90.00
Element x y z (fractional)
K1 0.000 0.000 0.000
Na1 0.000 0.500 0.500
Na2 0.500 0.000 0.500
Ni1 0.500 0.500 0.500
Pb1 0.500 0.500 0.000

## Properties
Size of the total moment, μB/f.u.: 0.0
E_tot, eV/cell: -12.9

---

A plane-wave DFT calculation with PBE was carried out for a geometry-optimized KNaNiSn2 structure.

Lattice parameters (Å, degrees): 4.996 4.996 5.581 90.00 90.00 90.00
Element x y z (fractional)
K1 0.000 0.000 0.000
Na1 0.500 0.500 0.000
Ni1 0.500 0.500 0.500
Sn1 0.000 0.500 0.500
Sn2 0.500 0.000 0.500

## Properties
Size of the total moment, μB/f.u.: 0.0
E_tot, eV/cell: -16.6

---

A plane-wave DFT calculation with PBE was carried out for a geometry-optimized KNaSrNi2 structure.

Lattice parameters (Å, degrees): 5.158 5.158 5.495 90.00 90.00 90.00
Element x y z (fractional)
K1 0.000 0.000 0.000
Na1 0.500 0.500 0.500
Sr1 0.500 0.500 0.000
Ni1 0.000 0.500 0.500
Ni2 0.500 0.000 0.500

## Properties
Size of the total moment, μB/f.u.: 0.0
E_tot, eV/cell: -10.6

---

A plane-wave DFT calculation with PBE was carried out for a geometry-optimized K2NaVNi structure.

Lattice parameters (Å, degrees): 6.059 6.059 5.427 90.00 90.00 90.00
Element x y z (fractional)
K1 0.000 0.500 0.000
K2 0.500 0.000 0.000
Na1 0.000 0.000 0.500
V1 0.500 0.500 0.500
Ni1 0.000 0.000 0.000

## Properties
Size of the total moment, μB/f.u.: 4.0
E_tot, eV/cell: -12.5

---

A plane-wave DFT calculation with PBE was carried out for a geometry-optimized KNaZn2Ni structure.

Lattice parameters (Å, degrees): 4.776 4.776 5.327 90.00 90.00 90.00
Element x y z (fractional)
K1 0.000 0.000 0.000
Na1 0.500 0.500 0.000
Zn1 0.000 0.500 0.500
Zn2 0.500 0.000 0.500
Ni1 0.500 0.500 0.500

## Properties
Size of the total moment, μB/f.u.: 0.0
E_tot, eV/cell: -10.2

---

What is the size of the total moment in the fifth record? 4.0 μB/f.u.

---

The lowest E_tot belongs to which entry? KNaNiSn2

---

Among the records above, which one has the highest size of the total moment? K2NaVNi